GGA-PBE TaRu, relaxed; SG = R-3m (166); E_form = 0.23 eV/f.u.
1.0
1.4896 0.8600 8.6391
-1.4896 0.8600 8.6391
0.0000 -1.7200 8.6391
Ta Ru
2 2
direct
0.1216 0.1216 0.1216
0.8784 0.8784 0.8784
0.3771 0.3771 0.3771
0.6229 0.6229 0.6229